(1)
Density functional theory data (PBE-GGA) for a geometry-optimized K2Pu2HfTe6 structure.

Values from the calculation:
* SG: C2/m (12)
* formation energy (no corrections): -1013 meV per atom
* electronic total energy: -70.807 eV per cell

Geometry as POSCAR:
```
K2Pu2HfTe6
1.0
7.5709 -0.0009 0.0473
-3.7427 6.5811 0.0473
-1.3821 -2.3756 8.3654
Te Hf K Pu
6 1 2 2
Direct
0.7557 0.7557 0.7022 Te
0.6143 0.9260 0.2956 Te
0.3857 0.0740 0.7044 Te
0.2443 0.2443 0.2978 Te
0.0740 0.3857 0.7044 Te
0.9260 0.6143 0.2956 Te
0.0000 0.0000 0.5000 Hf
0.1719 0.8281 0.0000 K
0.8281 0.1719 0.0000 K
0.3323 0.6677 0.5000 Pu
0.6677 0.3323 0.5000 Pu
```

---

(2)
Density functional theory data (PBE-GGA) for a geometry-optimized PmErIrO6 structure.

Values from the calculation:
* SG: P-31c (163)
* formation energy (no corrections): -2200 meV per atom
* electronic total energy: -135.451 eV per cell

Geometry as POSCAR:
```
PmErIrO6
1.0
-0.7691 -0.5466 5.4088
2.5399 -3.9633 -2.8261
8.7226 4.3892 1.6839
O Ir Pm Er
12 2 2 2
Direct
0.6652 0.0381 0.3619 O
0.3348 0.3729 0.8619 O
0.0381 0.6652 0.8619 O
0.9619 0.6271 0.3619 O
0.3729 0.0381 0.1381 O
0.9619 0.3348 0.1381 O
0.3729 0.3348 0.3619 O
0.6271 0.9619 0.8619 O
0.0381 0.3729 0.6381 O
0.6271 0.6652 0.6381 O
0.6652 0.6271 0.1381 O
0.3348 0.9619 0.6381 O
0.6667 0.3333 0.2500 Ir
0.3333 0.6667 0.7500 Ir
0.0000 0.0000 0.0000 Pm
0.0000 0.0000 0.5000 Pm
0.3333 0.6667 0.2500 Er
0.6667 0.3333 0.7500 Er
```

---

(3)
Density functional theory data (PBE-GGA) for a geometry-optimized Al3HgSe structure.

Values from the calculation:
* E above lowest polymorph: 0.0000 eV/atom
* SG: Pm-3m (221)
* formation energy (no corrections): 457 meV per atom
* electronic total energy: -12.730 eV per cell

Geometry as POSCAR:
```
Al3HgSe
1.0
-3.4136 -3.4246 1.4389
1.8186 -3.2446 -3.4083
3.2390 -1.7875 3.4299
Hg Al Se
1 3 1
Direct
0.0000 0.0000 0.0000 Hg
0.5000 0.0000 0.0000 Al
0.0000 0.0000 0.5000 Al
0.0000 0.5000 0.0000 Al
0.5000 0.5000 0.5000 Se
```

---

(4)
Density functional theory data (PBE-GGA) for a geometry-optimized YReGe4 structure.

Values from the calculation:
* SG: P-1 (2)
* electronic total energy: -76.080 eV per cell

Geometry as POSCAR:
```
YReGe4
1.0
6.4239 -0.0121 0.0076
0.0100 6.6133 1.7862
-3.2230 -1.3413 5.3864
Ge Re Y
8 2 2
Direct
0.6319 0.3483 0.4881 Ge
0.6917 0.4106 0.0883 Ge
0.6031 0.0894 0.9115 Ge
0.3083 0.5894 0.9117 Ge
0.3681 0.6517 0.5119 Ge
0.8564 0.8483 0.4888 Ge
0.3969 0.9106 0.0885 Ge
0.1436 0.1517 0.5112 Ge
0.5000 0.0000 0.5000 Re
0.0000 0.5000 0.5000 Re
0.0907 0.2498 0.9994 Y
0.9093 0.7502 0.0006 Y
```

---

(5)
Density functional theory data (PBE-GGA) for a geometry-optimized K2PrI5 structure.

Values from the calculation:
* E above lowest polymorph: 0.0000 eV/atom
* SG: Pnma (62)
* formation energy (no corrections): -1464 meV per atom
* electronic total energy: -105.762 eV per cell

Geometry as POSCAR:
```
K2PrI5
1.0
-5.4502 -4.1687 6.3077
7.9239 -1.6545 5.7532
-2.1458 12.8830 6.6601
I K Pr
20 8 4
Direct
0.9296 0.7500 0.0069 I
0.1564 0.2500 0.7067 I
0.3304 0.9535 0.9257 I
0.8304 0.4535 0.5743 I
0.4296 0.2500 0.4931 I
0.1696 0.5465 0.4257 I
0.8436 0.7500 0.2933 I
0.1205 0.7500 0.6839 I
0.3436 0.2500 0.2067 I
0.6696 0.0465 0.0743 I
0.5704 0.7500 0.5069 I
0.8304 0.0465 0.5743 I
0.3795 0.7500 0.1839 I
0.0704 0.2500 0.9931 I
0.8795 0.2500 0.3161 I
0.6564 0.7500 0.7933 I
0.6696 0.4535 0.0743 I
0.6205 0.2500 0.8161 I
0.1696 0.9535 0.4257 I
0.3304 0.5465 0.9257 I
0.0647 0.5047 0.1726 K
0.5647 0.0047 0.3274 K
0.5647 0.4953 0.3274 K
0.4353 0.5047 0.6726 K
0.0647 0.9953 0.1726 K
0.4353 0.9953 0.6726 K
0.9353 0.0047 0.8274 K
0.9353 0.4953 0.8274 K
0.0806 0.2500 0.4941 Pr
0.5806 0.7500 0.0059 Pr
0.4194 0.2500 0.9941 Pr
0.9194 0.7500 0.5059 Pr
```

---

(6)
Density functional theory data (PBE-GGA) for a geometry-optimized Be8Se structure.

Values from the calculation:
* SG: I4/mmm (139)
* formation energy (no corrections): 387 meV per atom
* electronic total energy: -29.814 eV per cell

Geometry as POSCAR:
```
Be8Se
1.0
4.8201 -1.9412 -1.6329
-3.3125 0.6599 4.2731
-2.9413 -3.9628 -2.3049
Be Se
8 1
Direct
0.0000 0.6501 0.6501 Be
0.3160 0.3160 0.6321 Be
0.6501 0.0000 0.6501 Be
0.6840 0.6840 0.3679 Be
0.3160 0.6840 0.0000 Be
0.6840 0.3160 0.0000 Be
0.0000 0.3499 0.3499 Be
0.3499 0.0000 0.3499 Be
0.0000 0.0000 0.0000 Se
```

---

(7)
Density functional theory data (PBE-GGA) for a geometry-optimized NiH structure.

Values from the calculation:
* SG: F-43m (216)
* electronic total energy: -36.782 eV per cell

Geometry as POSCAR:
```
NiH
1.0
3.8298 0.0000 0.0000
0.0000 3.8298 0.0000
0.0000 0.0000 3.8298
H Ni
4 4
Direct
0.5000 0.0000 0.0000 H
0.0000 0.0000 0.5000 H
0.0000 0.5000 0.0000 H
0.5000 0.5000 0.5000 H
0.2500 0.2500 0.2500 Ni
0.7500 0.2500 0.7500 Ni
0.7500 0.7500 0.2500 Ni
0.2500 0.7500 0.7500 Ni
```

---

(8)
Density functional theory data (PBE-GGA) for a geometry-optimized AcGaRhN structure.

Values from the calculation:
* SG: P4/nmm (129)
* formation energy (no corrections): -852 meV per atom
* electronic total energy: -52.438 eV per cell

Geometry as POSCAR:
```
AcGaRhN
1.0
4.1474 0.0000 0.0000
0.0000 4.1474 0.0000
0.0000 0.0000 8.7411
N Ga Rh Ac
2 2 2 2
Direct
0.0000 0.5000 0.1242 N
0.5000 0.0000 0.8758 N
0.0000 0.5000 0.3487 Ga
0.5000 0.0000 0.6513 Ga
0.0000 0.0000 0.5000 Rh
0.5000 0.5000 0.5000 Rh
0.5000 0.0000 0.1586 Ac
0.0000 0.5000 0.8414 Ac
```

---

(9)
Density functional theory data (PBE-GGA) for a geometry-optimized Ac2PmAu structure.

Values from the calculation:
* E above lowest polymorph: 0.0000 eV/atom
* SG: P4/mmm (123)
* electronic total energy: -17.640 eV per cell

Geometry as POSCAR:
```
Ac2PmAu
1.0
-0.7098 -2.4363 -2.9848
3.1081 1.4314 -1.9075
5.3288 -6.3512 3.9168
Au Pm Ac
1 1 2
Direct
0.5000 0.5000 0.0000 Au
0.5000 0.5000 0.5000 Pm
0.0000 0.0000 0.2097 Ac
0.0000 0.0000 0.7903 Ac
```

---

(10)
Density functional theory data (PBE-GGA) for a geometry-optimized NdDy5Er2Sc structure.

Values from the calculation:
* SG: Cmc2_1 (36)
* electronic total energy: -83.353 eV per cell

Geometry as POSCAR:
```
NdDy5Er2Sc
1.0
5.5538 0.0000 0.0000
-2.7769 9.8486 0.0000
0.0000 0.0000 10.3605
Er Nd Dy Sc
4 2 10 2
Direct
0.1138 0.2275 0.7356 Er
0.8883 0.7765 0.8141 Er
0.1117 0.2235 0.3141 Er
0.8862 0.7725 0.2356 Er
0.5870 0.1741 0.9533 Nd
0.4130 0.8259 0.4533 Nd
0.2770 0.5540 0.3212 Dy
0.7017 0.4034 0.2058 Dy
0.4808 0.9616 0.7391 Dy
0.6229 0.2459 0.5207 Dy
0.7230 0.4460 0.8212 Dy
0.9817 0.9633 0.5196 Dy
0.3771 0.7541 0.0207 Dy
0.2983 0.5966 0.7058 Dy
0.0183 0.0367 0.0196 Dy
0.5192 0.0384 0.2391 Dy
0.8040 0.6080 0.5145 Sc
0.1960 0.3920 0.0145 Sc
```

---

(11)
Density functional theory data (PBE-GGA) for a geometry-optimized LaErIn4 structure.

Values from the calculation:
* E above lowest polymorph: 0.0000 eV/atom
* SG: Imm2 (44)
* electronic total energy: -23.012 eV per cell

Geometry as POSCAR:
```
LaErIn4
1.0
4.3856 0.0000 1.8797
1.8784 5.8528 1.6733
-0.1283 0.4218 6.3552
Er In La
1 4 1
Direct
0.4394 0.0606 0.0606 Er
0.1614 0.0404 0.6369 In
0.1614 0.6369 0.0404 In
0.8433 0.8698 0.4435 In
0.8433 0.4435 0.8698 In
0.5512 0.4488 0.4488 La
```

---

(12)
Density functional theory data (PBE-GGA) for a geometry-optimized Be3CoSb structure.

Values from the calculation:
* E above lowest polymorph: 1.1528 eV/atom
* SG: Pm-3m (221)
* formation energy (no corrections): 1676 meV per atom
* electronic total energy: -14.027 eV per cell

Geometry as POSCAR:
```
Be3CoSb
1.0
-0.7085 -4.3079 -1.3133
4.2205 -1.0991 1.3284
-1.5718 -1.0093 4.1588
Be Sb Co
3 1 1
Direct
0.0000 0.0000 0.5000 Be
0.5000 0.0000 0.0000 Be
0.0000 0.5000 0.0000 Be
0.0000 0.0000 0.0000 Sb
0.5000 0.5000 0.5000 Co
```

---

(13)
Density functional theory data (PBE-GGA) for a geometry-optimized PuTl2GaCl6 structure.

Values from the calculation:
* SG: P1 (1)
* formation energy (no corrections): -1321 meV per atom
* electronic total energy: -46.381 eV per cell

Geometry as POSCAR:
```
PuTl2GaCl6
1.0
-0.3622 0.0643 -7.7648
-6.1252 -3.1457 -3.7040
-5.2378 4.6702 -3.6562
Tl Ga Cl Pu
2 1 6 1
Direct
0.5370 0.5353 0.3905 Tl
0.0296 0.0298 0.9126 Tl
0.8138 0.8144 0.5576 Ga
0.5708 0.1802 0.2610 Cl
0.9924 0.5732 0.2610 Cl
0.1765 0.9908 0.2579 Cl
0.6536 0.1062 0.7797 Cl
0.1095 0.4562 0.7772 Cl
0.4583 0.6550 0.7787 Cl
0.3200 0.3206 0.0390 Pu
```

---

(14)
Density functional theory data (PBE-GGA) for a geometry-optimized BaZn2Sb structure.

Values from the calculation:
* SG: C2/m (12)
* formation energy (no corrections): -303 meV per atom
* electronic total energy: -9.804 eV per cell

Geometry as POSCAR:
```
BaZn2Sb
1.0
4.7119 -0.0514 0.0370
2.3677 4.0741 0.0370
2.3475 1.3339 5.9332
Sb Zn Ba
1 2 1
Direct
0.2500 0.2500 0.2500 Sb
0.5282 0.5282 0.4164 Zn
0.9718 0.9718 0.0836 Zn
0.7500 0.7500 0.7500 Ba
```

---

(15)
Density functional theory data (PBE-GGA) for a geometry-optimized PmEuTmMg structure.

Values from the calculation:
* SG: F-43m (216)
* electronic total energy: -20.865 eV per cell

Geometry as POSCAR:
```
PmEuTmMg
1.0
-0.8429 2.9349 -4.7335
-4.8695 -0.4906 -2.7887
-3.6627 4.2793 -0.0462
Mg Tm Eu Pm
1 1 1 1
Direct
0.0000 0.0000 0.0000 Mg
0.5000 0.5000 0.5000 Tm
0.2500 0.2500 0.2500 Eu
0.7500 0.7500 0.7500 Pm
```

---

(16)
Density functional theory data (PBE-GGA) for a geometry-optimized Tm2CdGe structure.

Values from the calculation:
* SG: P4/mmm (123)
* electronic total energy: -16.355 eV per cell

Geometry as POSCAR:
```
Tm2CdGe
1.0
-0.7778 -3.0867 1.8192
2.3139 -1.8541 -2.1565
5.1968 1.3121 4.4482
Cd Ge Tm
1 1 2
Direct
0.5000 0.5000 0.5000 Cd
0.5000 0.5000 0.0000 Ge
0.0000 0.0000 0.2341 Tm
0.0000 0.0000 0.7659 Tm
```

---

(17)
Density functional theory data (PBE-GGA) for a geometry-optimized VCo2P structure.

Values from the calculation:
* SG: I-42d (122)
* electronic total energy: -57.978 eV per cell

Geometry as POSCAR:
```
VCo2P
1.0
-1.8650 2.4112 -1.9053
-3.0704 -1.5556 1.0369
-2.7413 5.0189 5.6435
Co V P
4 2 2
Direct
0.1426 0.6250 0.2500 Co
0.8750 0.8574 0.7500 Co
0.6074 0.1250 0.2500 Co
0.3750 0.3926 0.7500 Co
0.7500 0.2500 0.5000 V
0.0000 0.0000 0.0000 V
0.5000 0.5000 0.0000 P
0.2500 0.7500 0.5000 P
```

---

(18)
Density functional theory data (PBE-GGA) for a geometry-optimized AlBiP2Cl structure.

Values from the calculation:
* E above lowest polymorph: 0.7166 eV/atom
* SG: P4/mmm (123)
* formation energy (no corrections): 814 meV per atom
* electronic total energy: -16.221 eV per cell

Geometry as POSCAR:
```
AlBiP2Cl
1.0
-0.7707 0.1625 5.2659
-0.5549 -5.2949 0.0822
5.4044 -0.5538 0.8080
Al P Cl Bi
1 2 1 1
Direct
0.5000 0.5000 0.5000 Al
0.0000 0.5000 0.0000 P
0.5000 0.0000 0.0000 P
0.0000 0.0000 0.5000 Cl
0.0000 0.0000 0.0000 Bi
```

---

(19)
Density functional theory data (PBE-GGA) for a geometry-optimized SiWBr2 structure.

Values from the calculation:
* E above lowest polymorph: 0.5714 eV/atom
* SG: R-3m (166)
* formation energy (no corrections): 703 meV per atom
* electronic total energy: -18.911 eV per cell

Geometry as POSCAR:
```
SiWBr2
1.0
-3.5531 -3.5976 9.8039
-6.0249 -4.5190 8.0599
-3.4786 -6.3786 8.3004
W Br Si
1 2 1
Direct
0.7500 0.7500 0.7500 W
0.4747 0.4747 0.4747 Br
0.0253 0.0253 0.0253 Br
0.2500 0.2500 0.2500 Si
```

---

(20)
Density functional theory data (PBE-GGA) for a geometry-optimized Ac3Pr7Dy2 structure.

Values from the calculation:
* SG: P2/m (10)
* electronic total energy: -52.474 eV per cell

Geometry as POSCAR:
```
Ac3Pr7Dy2
1.0
3.7784 0.0000 -0.4954
0.0000 5.9000 0.0000
0.8325 0.0000 21.1405
Pr Ac Dy
7 3 2
Direct
0.0000 0.0000 0.0000 Pr
0.9265 0.5000 0.8576 Pr
0.7175 0.5000 0.4358 Pr
0.4086 0.0000 0.8232 Pr
0.0735 0.5000 0.1424 Pr
0.5914 0.0000 0.1768 Pr
0.2825 0.5000 0.5642 Pr
0.1783 0.0000 0.3520 Ac
0.5000 0.5000 0.0000 Ac
0.8217 0.0000 0.6480 Ac
0.3570 0.5000 0.7200 Dy
0.6430 0.5000 0.2800 Dy
```